16
Lattice="-1.7915 2.2365 3.2577 -1.1384 -3.7174 1.9261 7.7775 -0.1222 4.3610" Properties=species:S:1:pos:R:3 comment="PBE with a Hubbard U HfMg6FeO8, relaxed" volume_a3_per_cell=167.87 magmom_total_mub_per_atom=0.186 energy_ev_per_atom=-6.40 pbc="T T T"
O 2.9930 1.0572 3.8094
O -0.5692 -1.8587 0.9630
O 2.0906 -0.0328 1.1722
O 0.4655 -0.7707 3.6743
O 3.3195 -1.9198 3.1435
O 5.6869 -0.0893 3.1888
O 4.3821 -0.8322 5.8705
O -0.8958 1.1183 1.6289
Mg 5.0960 1.0242 4.9886
Mg -1.4650 -0.7404 2.5919
Mg 2.4238 -0.8015 4.7724
Mg 1.2165 -1.8867 1.9643
Mg 5.4226 -1.9528 4.3228
Mg 0.8899 1.0902 2.6301
Fe 0.0000 0.0000 0.0000
Hf 3.8887 -0.0611 2.1805